w | This record from Alexandria via LeMat-Bulk describes crystalline CaScBr2 at its relaxed geometry. The functional is PBE.

Cell lengths 3.462, 3.462, 9.714 Å; angles 90.00, 90.00, 90.00 degrees
Sites, in units of the cell vectors:
Br: 0.000 0.000 0.581
Br: 0.000 0.000 0.919
Ca: 0.500 0.500 0.250
Sc: 0.500 0.500 0.750

Calculated values
M_tot = 0.22 μB per cell
SG = P4/mmm, No. 123

x | This record from Alexandria via LeMat-Bulk describes crystalline CaScBr2 at its relaxed geometry. The functional is PBE.

Cell lengths 6.430, 6.430, 7.878 Å; angles 65.92, 65.92, 90.00 degrees
Sites, in units of the cell vectors:
Br: 0.101 0.625 0.250
Ca: 0.500 0.500 0.000
Br: 0.649 0.125 0.250
Sc: 0.750 0.250 0.500
Sc: 0.000 0.000 0.000
Br: 0.375 0.351 0.750
Ca: 0.250 0.750 0.500
Br: 0.875 0.899 0.750

Calculated values
M_tot = 0.00 μB per cell
SG = I-42d, No. 122

Which of them is most stable, and which least? Most stable: w; least stable: x.

w | This record from Alexandria via LeMat-Bulk describes crystalline CaScBr2 at its relaxed geometry. The functional is PBE.

Cell lengths 6.108, 6.108, 6.108 Å; angles 145.32, 114.73, 76.07 degrees
Sites, in units of the cell vectors:
Ca: 0.750 0.250 0.500
Br: 0.462 0.462 0.000
Br: 0.038 0.038 0.000
Sc: 0.250 0.750 0.500

Calculated values
M_tot = 0.00 μB per cell
SG = Immm, No. 71

x | This record from Alexandria via LeMat-Bulk describes crystalline CaScBr2 at its relaxed geometry. The functional is PBE.

Cell lengths 7.479, 7.479, 7.479 Å; angles 148.59, 148.59, 45.01 degrees
Sites, in units of the cell vectors:
Br: 0.000 0.000 0.000
Br: 0.250 0.750 0.500
Sc: 0.750 0.250 0.500
Ca: 0.500 0.500 0.000

Calculated values
M_tot = 0.00 μB per cell
SG = I-4m2, No. 119

y | This record from Alexandria via LeMat-Bulk describes crystalline CaScBr2 at its relaxed geometry. The functional is PBE.

Cell lengths 4.563, 3.791, 6.431 Å; angles 93.26, 90.00, 90.00 degrees
Sites, in units of the cell vectors:
Sc: 0.500 0.750 0.750
Br: 0.000 0.924 0.997
Ca: 0.500 0.250 0.250
Br: 0.000 0.576 0.503

Calculated values
M_tot = 0.49 μB per cell
SG = P2/m, No. 10

z | This record from Alexandria via LeMat-Bulk describes crystalline CaScBr2 at its relaxed geometry. The functional is PBE.

Cell lengths 3.604, 6.774, 4.600 Å; angles 90.00, 90.00, 90.00 degrees
Sites, in units of the cell vectors:
Br: 0.500 0.500 0.000
Br: 0.000 0.000 0.000
Sc: 0.000 0.500 0.500
Ca: 0.500 0.000 0.500

Calculated values
M_tot = 0.34 μB per cell
SG = Pmmm, No. 47

Which of them is most stable, and which least? Most stable: w; least stable: x.

w | This record from Alexandria via LeMat-Bulk describes crystalline CaScBr2 at its relaxed geometry. The functional is PBE.

Cell lengths 4.869, 4.869, 6.371 Å; angles 76.97, 76.97, 44.20 degrees
Sites, in units of the cell vectors:
Sc: 0.250 0.250 0.250
Br: 0.514 0.514 0.476
Br: 0.986 0.986 0.024
Ca: 0.750 0.750 0.750

Calculated values
M_tot = 0.61 μB per cell
SG = C2/m, No. 12

x | This record from Alexandria via LeMat-Bulk describes crystalline CaScBr2 at its relaxed geometry. The functional is PBE.

Cell lengths 5.536, 3.708, 5.321 Å; angles 78.11, 90.00, 90.00 degrees
Sites, in units of the cell vectors:
Ca: 0.000 0.392 0.449
Sc: 0.500 0.903 0.825
Br: 0.500 0.262 0.253
Br: 0.000 0.943 0.972

Calculated values
M_tot = 1.36 μB per cell
SG = Pm, No. 6

y | This record from Alexandria via LeMat-Bulk describes crystalline CaScBr2 at its relaxed geometry. The functional is PBE.

Cell lengths 5.139, 5.139, 3.577 Å; angles 90.00, 90.00, 90.00 degrees
Sites, in units of the cell vectors:
Ca: 0.500 0.000 0.500
Sc: 0.000 0.500 0.500
Br: 0.000 0.000 0.000
Br: 0.500 0.500 0.000

Calculated values
M_tot = 1.34 μB per cell
SG = P4/mmm, No. 123

z | This record from Alexandria via LeMat-Bulk describes crystalline CaScBr2 at its relaxed geometry. The functional is PBE.

Cell lengths 5.173, 5.173, 6.903 Å; angles 72.79, 72.79, 41.25 degrees
Sites, in units of the cell vectors:
Sc: 0.247 0.247 0.096
Ca: 0.532 0.532 0.503
Br: 0.770 0.770 0.756
Br: 0.951 0.951 0.145

Calculated values
M_tot = 0.88 μB per cell
SG = Cm, No. 8

Which of them is most stable, and which least? Most stable: z; least stable: y.

w | This record from Alexandria via LeMat-Bulk describes crystalline CaScBr2 at its relaxed geometry. The functional is PBE.

Cell lengths 3.599, 3.598, 9.326 Å; angles 90.00, 90.00, 90.06 degrees
Sites, in units of the cell vectors:
Br: 0.000 0.000 0.926
Ca: 0.000 0.000 0.483
Sc: 0.500 0.500 0.777
Br: 0.500 0.500 0.314

Calculated values
M_tot = 0.76 μB per cell
SG = P4mm, No. 99

x | This record from Alexandria via LeMat-Bulk describes crystalline CaScBr2 at its relaxed geometry. The functional is PBE.

Cell lengths 5.123, 5.123, 5.123 Å; angles 60.00, 60.00, 60.00 degrees
Sites, in units of the cell vectors:
Sc: 0.500 0.500 0.500
Ca: 0.000 0.000 0.000
Br: 0.750 0.750 0.750
Br: 0.250 0.250 0.250

Calculated values
M_tot = 1.31 μB per cell
SG = Fm-3m, No. 225

y | This record from Alexandria via LeMat-Bulk describes crystalline CaScBr2 at its relaxed geometry. The functional is PBE.

Cell lengths 3.840, 3.840, 9.287 Å; angles 90.00, 90.00, 124.55 degrees
Sites, in units of the cell vectors:
Br: 0.000 0.000 0.518
Br: 0.000 0.000 0.982
Sc: 0.500 0.500 0.750
Ca: 0.500 0.500 0.250

Calculated values
M_tot = 0.00 μB per cell
SG = Cmmm, No. 65

Which of them is most stable, and which least? Most stable: w; least stable: x.

w | This record from Alexandria via LeMat-Bulk describes crystalline CaScBr2 at its relaxed geometry. The functional is PBE.

Cell lengths 10.225, 10.225, 10.225 Å; angles 21.07, 21.07, 21.07 degrees
Sites, in units of the cell vectors:
Br: 0.475 0.475 0.475
Sc: 0.750 0.750 0.750
Ca: 0.250 0.250 0.250
Br: 0.025 0.025 0.025

Calculated values
M_tot = 0.50 μB per cell
SG = R-3m, No. 166

x | This record from Alexandria via LeMat-Bulk describes crystalline CaScBr2 at its relaxed geometry. The functional is PBE.

Cell lengths 6.793, 6.793, 6.793 Å; angles 150.29, 135.13, 54.75 degrees
Sites, in units of the cell vectors:
Br: 0.038 0.038 0.000
Br: 0.729 0.229 0.500
Sc: 0.238 0.738 0.500
Ca: 0.496 0.496 0.000

Calculated values
M_tot = 0.80 μB per cell
SG = Imm2, No. 44

Which of them is most stable, and which least? Most stable: w; least stable: x.

w | This record from Alexandria via LeMat-Bulk describes crystalline CaScBr3 at its relaxed geometry. The functional is PBE.

Cell lengths 5.618, 5.618, 5.618 Å; angles 90.00, 90.00, 90.00 degrees
Sites, in units of the cell vectors:
Br: 0.000 0.000 0.500
Br: 0.500 0.000 0.000
Br: 0.000 0.500 0.000
Ca: 0.000 0.000 0.000
Sc: 0.500 0.500 0.500

Calculated values
M_tot = 1.91 μB per cell
SG = Pm-3m, No. 221

x | This record from Alexandria via LeMat-Bulk describes crystalline CaScBr3 at its relaxed geometry. The functional is PBE.

Cell lengths 5.347, 5.347, 5.347 Å; angles 90.00, 90.00, 90.00 degrees
Sites, in units of the cell vectors:
Sc: 0.000 0.000 0.000
Br: 0.500 0.000 0.000
Br: 0.000 0.000 0.500
Br: 0.000 0.500 0.000
Ca: 0.500 0.500 0.500

Calculated values
M_tot = 0.00 μB per cell
SG = Pm-3m, No. 221

Which of them is most stable, and which least? Most stable: x; least stable: w.